(1)
# Pr7Cd2Rh2 (PBE, optimized geometry)
# Magnetization (μB per atom): 0.00
# Calculated formation energy (eV per formula unit): -3.44
# E above lowest polymorph (eV per atom): 0.000
# Density of states at the Fermi level (states/eV/atom): 1.172
# VASP energy (eV for the cell shown): -106.87
# Calculated volume (Å³ per cell): 662.2
data_Pr7Cd2Rh2
_cell_length_a 3.8902
_cell_length_b 15.7579
_cell_length_c 10.8031
_cell_angle_alpha 90.00
_cell_angle_beta 90.00
_cell_angle_gamma 90.00
_symmetry_space_group_name_H-M 'I m m 2'
_symmetry_Int_Tables_number 44
loop_
_symmetry_equiv_pos_as_xyz
'x,y,z'
'-x,-y,z'
'-x,y,z'
'x,-y,z'
'x+1/2,y+1/2,z+1/2'
'-x+1/2,-y+1/2,z+1/2'
'-x+1/2,y+1/2,z+1/2'
'x+1/2,-y+1/2,z+1/2'
loop_
_atom_site_label
_atom_site_type_symbol
_atom_site_fract_x
_atom_site_fract_y
_atom_site_fract_z
Pr1 Pr 0.0000 0.0000 0.0000
Pr2 Pr 0.0000 0.1701 0.5076
Pr3 Pr 0.0000 0.3440 0.3024
Pr4 Pr 0.0000 0.3581 0.7099
Cd1 Cd 0.0000 0.0000 0.6937
Cd2 Cd 0.0000 0.5000 0.9614
Rh1 Rh 0.0000 0.1923 0.0168

(2)
# Pr5Cd4Rh (PBE, optimized geometry)
# Magnetization (μB per atom): 0.04
# Calculated formation energy (eV per formula unit): -3.72
# Density of states at the Fermi level (states/eV/atom): 0.954
# VASP energy (eV for the cell shown): -38.63
# Calculated volume (Å³ per cell): 278.9
data_Pr5Cd4Rh
_cell_length_a 3.7773
_cell_length_b 3.7773
_cell_length_c 19.5465
_cell_angle_alpha 90.00
_cell_angle_beta 90.00
_cell_angle_gamma 90.00
_symmetry_space_group_name_H-M 'P 4/m m m'
_symmetry_Int_Tables_number 123
_symmetry_space_group_name_Hall '-P 4 2'
loop_
_atom_site_label
_atom_site_type_symbol
_atom_site_fract_x
_atom_site_fract_y
_atom_site_fract_z
Pr1 Pr 0.0000 0.0000 0.0000
Pr2 Pr 0.0000 0.0000 0.2066
Pr3 Pr 0.0000 0.0000 0.4162
Cd1 Cd 0.5000 0.5000 0.1031
Cd2 Cd 0.5000 0.5000 0.3082
Rh1 Rh 0.5000 0.5000 0.5000

(3)
# Pr5CdRh2 (PBE, optimized geometry)
# Magnetization (μB per atom): 0.00
# Calculated formation energy (eV per formula unit): -2.88
# E above lowest polymorph (eV per atom): 0.092
# Density of states at the Fermi level (states/eV/atom): 0.996
# VASP energy (eV for the cell shown): -169.57
# Calculated volume (Å³ per cell): 1006.7
data_Pr5CdRh2
_cell_length_a 5.7085
_cell_length_b 12.5358
_cell_length_c 14.0674
_cell_angle_alpha 90.00
_cell_angle_beta 90.00
_cell_angle_gamma 90.00
_symmetry_space_group_name_H-M 'C m c m'
_symmetry_Int_Tables_number 63
_symmetry_space_group_name_Hall '-C 2c 2'
loop_
_atom_site_label
_atom_site_type_symbol
_atom_site_fract_x
_atom_site_fract_y
_atom_site_fract_z
Pr1 Pr 0.0000 0.0580 0.1244
Pr2 Pr 0.0000 0.2320 0.7500
Pr3 Pr 0.0000 0.3530 0.0510
Cd1 Cd 0.0000 0.4973 0.7500
Rh1 Rh 0.0000 0.1564 0.5586

(4)
# Pr2CdRh (PBE, optimized geometry)
# Magnetization (μB per atom): 0.00
# Calculated formation energy (eV per formula unit): -1.85
# E above lowest polymorph (eV per atom): 0.001
# Density of states at the Fermi level (states/eV/atom): 0.572
# VASP energy (eV for the cell shown): -19.68
# Calculated volume (Å³ per cell): 104.1
data_Pr2CdRh
_cell_length_a 3.6605
_cell_length_b 3.6605
_cell_length_c 7.7680
_cell_angle_alpha 90.00
_cell_angle_beta 90.00
_cell_angle_gamma 90.00
_symmetry_space_group_name_H-M 'P 4/m m m'
_symmetry_Int_Tables_number 123
_symmetry_space_group_name_Hall '-P 4 2'
loop_
_atom_site_label
_atom_site_type_symbol
_atom_site_fract_x
_atom_site_fract_y
_atom_site_fract_z
Pr1 Pr 0.0000 0.0000 0.2187
Cd1 Cd 0.5000 0.5000 0.5000
Rh1 Rh 0.5000 0.5000 0.0000

(5)
# Pr11Cd9Rh4 (PBE, optimized geometry)
# Magnetization (μB per atom): 0.03
# Calculated formation energy (eV per formula unit): -11.49
# Density of states at the Fermi level (states/eV/atom): 0.786
# VASP energy (eV for the cell shown): -203.41
# Calculated volume (Å³ per cell): 1281.3
data_Pr11Cd9Rh4
_cell_length_a 14.8550
_cell_length_b 22.3794
_cell_length_c 3.8542
_cell_angle_alpha 90.00
_cell_angle_beta 90.00
_cell_angle_gamma 90.00
_symmetry_space_group_name_H-M 'C m m m'
_symmetry_Int_Tables_number 65
_symmetry_space_group_name_Hall '-C 2 2'
loop_
_atom_site_label
_atom_site_type_symbol
_atom_site_fract_x
_atom_site_fract_y
_atom_site_fract_z
Pr1 Pr 0.0000 0.0000 0.0000
Pr2 Pr 0.0000 0.1613 0.0000
Pr3 Pr 0.0000 0.3729 0.0000
Pr4 Pr 0.1924 0.5000 0.0000
Pr5 Pr 0.2475 0.1684 0.0000
Cd1 Cd 0.0000 0.5000 0.5000
Cd2 Cd 0.1033 0.2624 0.5000
Cd3 Cd 0.1448 0.0709 0.5000
Rh1 Rh 0.1494 0.3993 0.5000

(6)
# Pr3CdRh (PBE, optimized geometry)
# Magnetization (μB per atom): 0.00
# Calculated formation energy (eV per formula unit): -1.84
# E above lowest polymorph (eV per atom): 0.000
# Density of states at the Fermi level (states/eV/atom): 1.007
# VASP energy (eV for the cell shown): -97.78
# Calculated volume (Å³ per cell): 596.4
data_Pr3CdRh
_cell_length_a 16.5605
_cell_length_b 4.0779
_cell_length_c 10.7810
_cell_angle_alpha 90.00
_cell_angle_beta 125.00
_cell_angle_gamma 90.00
_symmetry_space_group_name_H-M 'C 1 2/m 1'
_symmetry_Int_Tables_number 12
loop_
_symmetry_equiv_pos_as_xyz
'x,y,z'
'-x,-y,-z'
'-x,y,-z'
'x,-y,z'
'x+1/2,y+1/2,z'
'-x+1/2,-y+1/2,-z'
'-x+1/2,y+1/2,-z'
'x+1/2,-y+1/2,z'
loop_
_atom_site_label
_atom_site_type_symbol
_atom_site_fract_x
_atom_site_fract_y
_atom_site_fract_z
Pr1 Pr 0.0860 0.0000 0.4521
Pr2 Pr 0.1374 0.5000 0.2165
Pr3 Pr 0.1689 0.5000 0.8033
Cd1 Cd 0.0679 0.0000 0.9245
Rh1 Rh 0.2323 0.5000 0.5808

(7)
# PrCdRh (PBE, optimized geometry)
# Magnetization (μB per atom): 0.00
# Calculated formation energy (eV per formula unit): -1.59
# Density of states at the Fermi level (states/eV/atom): 0.493
# VASP energy (eV for the cell shown): -58.53
# Calculated volume (Å³ per cell): 285.5
data_PrCdRh
_cell_length_a 3.9685
_cell_length_b 17.6393
_cell_length_c 4.0781
_cell_angle_alpha 90.00
_cell_angle_beta 90.00
_cell_angle_gamma 90.00
_symmetry_space_group_name_H-M 'C m c m'
_symmetry_Int_Tables_number 63
_symmetry_space_group_name_Hall '-C 2c 2'
loop_
_atom_site_label
_atom_site_type_symbol
_atom_site_fract_x
_atom_site_fract_y
_atom_site_fract_z
Pr1 Pr 0.0000 0.0954 0.2500
Cd1 Cd 0.0000 0.2909 0.2500
Rh1 Rh 0.0000 0.4499 0.2500

(8)
# Pr8CdRh2 (PBE, optimized geometry)
# Magnetization (μB per atom): 0.00
# Calculated formation energy (eV per formula unit): -2.88
# E above lowest polymorph (eV per atom): 0.000
# Density of states at the Fermi level (states/eV/atom): 1.211
# VASP energy (eV for the cell shown): -113.47
# Calculated volume (Å³ per cell): 701.7
data_Pr8CdRh2
_cell_length_a 15.3290
_cell_length_b 7.0866
_cell_length_c 6.5053
_cell_angle_alpha 90.00
_cell_angle_beta 96.81
_cell_angle_gamma 90.00
_symmetry_space_group_name_H-M 'C 1 2/m 1'
_symmetry_Int_Tables_number 12
loop_
_symmetry_equiv_pos_as_xyz
'x,y,z'
'-x,-y,-z'
'-x,y,-z'
'x,-y,z'
'x+1/2,y+1/2,z'
'-x+1/2,-y+1/2,-z'
'-x+1/2,y+1/2,-z'
'x+1/2,-y+1/2,z'
loop_
_atom_site_label
_atom_site_type_symbol
_atom_site_fract_x
_atom_site_fract_y
_atom_site_fract_z
Pr1 Pr 0.0764 0.0000 0.3438
Pr2 Pr 0.1253 0.2549 0.8818
Pr3 Pr 0.2032 0.5000 0.3766
Cd1 Cd 0.0000 0.5000 0.5000
Rh1 Rh 0.2310 0.0000 0.1728

(9)
# PrCd2Rh (PBE, optimized geometry)
# Magnetization (μB per atom): 0.00
# Calculated formation energy (eV per formula unit): 0.92
# Density of states at the Fermi level (states/eV/atom): 0.601
# VASP energy (eV for the cell shown): -39.13
# Calculated volume (Å³ per cell): 279.8
data_PrCd2Rh
_cell_length_a 3.1565
_cell_length_b 3.1565
_cell_length_c 32.4255
_cell_angle_alpha 90.00
_cell_angle_beta 90.00
_cell_angle_gamma 120.00
_symmetry_space_group_name_H-M 'R -3 m'
_symmetry_Int_Tables_number 166
_symmetry_space_group_name_Hall '-R 3 2"'
loop_
_atom_site_label
_atom_site_type_symbol
_atom_site_fract_x
_atom_site_fract_y
_atom_site_fract_z
Pr1 Pr 0.0000 0.0000 0.0000
Cd1 Cd 0.0000 0.0000 0.1006
Rh1 Rh 0.0000 0.0000 0.5000

(10)
# Pr6Cd2Rh (PBE, optimized geometry)
# Magnetization (μB per atom): 0.00
# Calculated formation energy (eV per formula unit): -1.92
# Density of states at the Fermi level (states/eV/atom): 1.114
# VASP energy (eV for the cell shown): -79.56
# Calculated volume (Å³ per cell): 588.5
data_Pr6Cd2Rh
_cell_length_a 7.2275
_cell_length_b 7.4455
_cell_length_c 13.0878
_cell_angle_alpha 90.00
_cell_angle_beta 123.32
_cell_angle_gamma 90.00
_symmetry_space_group_name_H-M 'P 1 21/c 1'
_symmetry_Int_Tables_number 14
loop_
_symmetry_equiv_pos_as_xyz
'x,y,z'
'-x,-y,-z'
'-x,y+1/2,-z+1/2'
'x,-y+1/2,z+1/2'
loop_
_atom_site_label
_atom_site_type_symbol
_atom_site_fract_x
_atom_site_fract_y
_atom_site_fract_z
Pr1 Pr 0.1415 0.1994 0.4616
Pr2 Pr 0.2613 0.6821 0.4589
Pr3 Pr 0.3473 0.5112 0.7496
Cd1 Cd 0.2048 0.0858 0.7480
Rh1 Rh 0.5000 0.0000 0.5000

(11)
# Pr2CdRh (PBE, optimized geometry)
# Magnetization (μB per atom): 0.00
# Calculated formation energy (eV per formula unit): -1.86
# E above lowest polymorph (eV per atom): 0.000
# Density of states at the Fermi level (states/eV/atom): 0.612
# VASP energy (eV for the cell shown): -39.36
# Calculated volume (Å³ per cell): 208.2
data_Pr2CdRh
_cell_length_a 7.3157
_cell_length_b 3.6671
_cell_length_c 7.7621
_cell_angle_alpha 90.00
_cell_angle_beta 90.00
_cell_angle_gamma 90.00
_symmetry_space_group_name_H-M 'P m m a'
_symmetry_Int_Tables_number 51
loop_
_symmetry_equiv_pos_as_xyz
'x,y,z'
'-x,-y,-z'
'-x+1/2,-y,z'
'x+1/2,y,-z'
'x+1/2,-y,-z'
'-x+1/2,y,z'
'-x,y,-z'
'x,-y,z'
loop_
_atom_site_label
_atom_site_type_symbol
_atom_site_fract_x
_atom_site_fract_y
_atom_site_fract_z
Pr1 Pr 0.0044 0.0000 0.2197
Cd1 Cd 0.2500 0.5000 0.5107
Rh1 Rh 0.2500 0.5000 0.9703